(1)
K2DyAs2O6: relaxed, PBE-GGA.

Computed properties:
Formation energy without anion corrections in eV per atom: -1.934
Total DFT energy (no corrections) in eV per atom: -6.1022
Total magnetization in μB per formula unit: 1.0

Lattice parameters (Å, degrees): 5.9888 5.7787 7.2130 111.96 90.00 121.21
Last column: nearest neighbours and their distance in Å.
Element x y z (fractional)
K (0.7085, 0.4170, 0.1758)  5 O 2.79-3.08
K (0.2915, 0.5830, 0.8242)  5 O 2.79-3.08
Dy (0.5000, 0.0000, 0.5000)  6 O 2.26-2.29
As (0.9346, 0.8691, 0.7800)  3 O 1.76-1.77
As (0.0654, 0.1309, 0.2200)  3 O 1.76-1.77
O (0.7489, 0.4978, 0.5847)  1 As 1.76
O (0.2070, 0.9426, 0.2553)  1 As 1.77
O (0.2644, 0.0574, 0.7447)  1 As 1.77
O (0.7930, 0.0574, 0.7447)  1 As 1.77
O (0.7356, 0.9426, 0.2553)  1 As 1.77
O (0.2511, 0.5022, 0.4153)  1 As 1.76

---

(2)
FeWAu: relaxed, PBE-GGA.

Computed properties:
Total DFT energy (no corrections) in eV per atom: -7.9066
E above lowest polymorph in meV/atom: 16
Total magnetization in μB per formula unit: 0.9
Energy relative to the elements in kcal/mol of atoms: 7.5

Lattice parameters (Å, degrees): 4.9545 4.9545 4.9545 142.44 142.41 54.19
Last column: nearest neighbours and their distance in Å.
Element x y z (fractional)
Au (0.9960, 0.9960, 0.0000)  5 W 2.73-2.81, 5 Fe 2.75-2.84
Fe (0.3174, 0.3174, 0.0000)  4 W 2.53, 5 Au 2.75-2.84
W (0.6865, 0.6865, 0.0000)  4 Fe 2.53, 5 Au 2.73-2.81